Entry 1:
Density functional theory data (PBE) for a relaxed structure of PaAlGeN.

The structure in POSCAR format:
```
PaAlGeN
1.0
-3.515 -1.805 -0.368
1.548 -2.465 -2.698
2.186 -5.547 6.322
N Pa Ge Al
2 2 2 2
direct
0.500 0.500 0.000 N
0.000 0.000 0.000 N
0.500 0.000 0.135 Pa
0.000 0.500 0.865 Pa
0.500 0.000 0.694 Ge
0.000 0.500 0.306 Ge
0.500 0.500 0.500 Al
0.000 0.000 0.500 Al
```

## Properties
VASP energy	-7.437	eV/atom
density of states at the Fermi level	0.967	states/eV/atom
calculated density	8.36	g/cm³
total magnetic moment	0.00	μB/atom
energy relative to the elements, uncorrected	-0.891	eV/atom


Entry 2:
Density functional theory data (PBE) for a relaxed structure of KNa6In8.

The structure in POSCAR format:
```
KNa6In8
1.0
2.001 3.628 7.093
5.899 -3.981 4.104
7.263 3.829 -0.275
Na In K
6 8 1
direct
0.390 0.855 0.626 Na
0.374 0.610 0.145 Na
0.626 0.390 0.855 Na
0.855 0.626 0.390 Na
0.145 0.374 0.610 Na
0.610 0.145 0.374 Na
0.556 0.878 0.176 In
0.225 0.225 0.225 In
0.176 0.556 0.878 In
0.775 0.775 0.775 In
0.878 0.176 0.556 In
0.122 0.824 0.444 In
0.824 0.444 0.122 In
0.444 0.122 0.824 In
0.000 0.000 0.000 K
```

## Properties
VASP energy	-2.123	eV/atom
density of states at the Fermi level	0.352	states/eV/atom
calculated density	4.04	g/cm³
total magnetic moment	0.00	μB/atom


Entry 3:
Density functional theory data (PBE) for a relaxed structure of La3PrTlGa.

The structure in POSCAR format:
```
La3PrTlGa
1.0
8.523 0.577 -2.455
4.504 7.259 -2.455
0.116 0.070 6.604
La Ga Pr Tl
6 2 2 2
direct
0.830 0.830 0.403 La
0.609 0.125 0.913 La
0.170 0.170 0.597 La
0.875 0.391 0.087 La
0.391 0.875 0.087 La
0.125 0.609 0.913 La
0.999 0.999 0.794 Ga
0.001 0.001 0.206 Ga
0.698 0.302 0.500 Pr
0.302 0.698 0.500 Pr
0.311 0.311 0.316 Tl
0.689 0.689 0.684 Tl
```

## Properties
VASP energy	-4.450	eV/atom
density of states at the Fermi level	1.321	states/eV/atom
calculated density	7.01	g/cm³
total magnetic moment	0.00	μB/atom


Entry 4:
Density functional theory data (PBE) for a relaxed structure of Ba4InRe.

The structure in POSCAR format:
```
Ba4InRe
1.0
0.000 4.970 4.970
4.970 0.000 4.970
4.970 4.970 0.000
Ba Re In
4 1 1
direct
0.375 0.375 0.876 Ba
0.375 0.876 0.375 Ba
0.876 0.375 0.375 Ba
0.375 0.375 0.375 Ba
0.000 0.000 0.000 Re
0.750 0.750 0.750 In
```

## Properties
VASP energy	-2.643	eV/atom
density of states at the Fermi level	1.466	states/eV/atom
calculated density	5.75	g/cm³
total magnetic moment	0.38	μB/atom


Entry 5:
Density functional theory data (PBE) for a relaxed structure of Mg3Se4.

The structure in POSCAR format:
```
Mg3Se4
1.0
-3.269 -3.508 2.539
0.869 -3.648 -3.921
4.242 -1.955 2.760
Mg Se
3 4
direct
0.000 0.000 0.500 Mg
0.500 0.000 0.000 Mg
0.000 0.500 0.000 Mg
0.000 0.000 0.000 Se
0.500 0.000 0.500 Se
0.000 0.500 0.500 Se
0.500 0.500 0.000 Se
```

## Properties
VASP energy	-3.494	eV/atom
density of states at the Fermi level	0.698	states/eV/atom
ΔE to the lowest computed polymorph	13.8	meV/atom
calculated density	4.04	g/cm³
total magnetic moment	0.00	μB/atom
energy relative to the elements, uncorrected	-0.820	eV/atom


Entry 6:
Density functional theory data (PBE) for a relaxed structure of Zn2IrBr.

The structure in POSCAR format:
```
Zn2IrBr
1.0
6.553 0.001 0.002
-2.548 3.935 0.004
1.457 0.943 2.560
Br Zn Ir
1 2 1
direct
0.000 0.500 0.500 Br
0.000 0.000 0.000 Zn
0.500 0.000 0.500 Zn
0.500 0.500 0.000 Ir
```

## Properties
VASP energy	-3.043	eV/atom
density of states at the Fermi level	0.239	states/eV/atom
ΔE to the lowest computed polymorph	307.1	meV/atom
calculated density	10.14	g/cm³
total magnetic moment	0.00	μB/atom
energy relative to the elements, uncorrected	0.227	eV/atom


Q: What is the calculated density in the fourth record?
A: 5.75 g/cm³